This record from Alexandria describes a relaxed ErHgPd4 crystal. The functional is PBE.

Its theoretical density is 12.413 g cm⁻³. For the total DFT energy (no corrections), the calculation gives -58.03 eV/cell. The total magnetic moment is 0.0 μB per formula unit. For the formation energy, the calculation gives -0.563 eV per atom.

It has space group C2/m (No. 12), with a = 9.442 Å, b = 3.960 Å, c = 6.050 Å, α = 90.00°, β = 110.20° and γ = 90.00°. The distinct sites, in fractional coordinates, are Er at (0.000, 0.000, 0.000), Hg at (0.000, 0.000, 0.500), Pd at (0.167, 0.500, 0.332) and Pd at (0.167, 0.500, 0.829).